# Zn3Ga2Ag8

A relaxed Zn3Ga2Ag8 crystal (PBE, Alexandria via LeMat-Bulk).

Properties
offset from the most stable computed form	0.00	eV/f.u.

a b c (Å): 11.5908 7.6566 5.3444
angles (deg): 90.00 97.75 90.00
Closest atoms and distances in Å follow each position.
Space group C2/m (No. 12)
Asymmetric unit:
Zn1 0.0000 0.0000 0.0000 x2  6 Ag 2.56-2.83, 2 Ga 2.72
Zn2 0.0000 0.1746 0.5000 x4  3 Zn 2.67-2.99, 6 Ag 2.69-2.93, 2 Ga 2.93
Ga1 0.2001 0.0000 0.7876 x4  7 Ag 2.60-2.83, 1 Zn 2.72
Ag1 0.0931 0.5000 0.3759 x4  1 Ga 2.66, 4 Ag 2.68-2.88, 2 Zn 2.83
Ag2 0.1195 0.3131 0.9185 x8  2 Zn 2.69-2.83, 2 Ga 2.70-2.83, 3 Ag 2.86-2.97
Ag3 0.1927 0.0000 0.2988 x4  1 Zn 2.56, 2 Ga 2.60-2.74, 1 Ag 2.83

---

# Zn2Ga2Ag3

A relaxed Zn2Ga2Ag3 crystal (PBE, Alexandria via LeMat-Bulk).

Properties
offset from the most stable computed form	0.31	eV/f.u.

a b c (Å): 4.3547 19.1837 2.9040
angles (deg): 90.00 90.00 90.00
Closest atoms and distances in Å follow each position.
Space group Cmmm (No. 65)
Asymmetric unit:
Zn1 0.0000 0.1433 0.0000 x4  5 Ag 2.75-2.93, 2 Zn 2.90, 4 Ga 2.95
Ga1 0.0000 0.2859 0.5000 x4  2 Ga 2.58, 1 Ag 2.67
Ag1 0.0000 0.0000 0.0000 x2  2 Zn 2.75, 10 Ag 2.90-2.99
Ag2 0.0000 0.4251 0.5000 x4  1 Ga 2.67, 7 Ag 2.87-2.99, 4 Zn 2.93

---

# Zn4GaAg4

A relaxed Zn4GaAg4 crystal (PBE, Alexandria via LeMat-Bulk).

Properties
E_tot	-0.15988	Ry/atom

a b c (Å): 8.6139 8.6139 3.9842
angles (deg): 90.00 90.00 90.00
Closest atoms and distances in Å follow each position.
Space group I4/mmm (No. 139)
Asymmetric unit:
Zn1 0.0000 0.3407 0.0000 x8  5 Zn 2.74-2.78, 6 Ag 2.87-2.88, 1 Ga 2.93
Ga1 0.0000 0.0000 0.0000 x2  8 Ag 2.85, 4 Zn 2.93
Ag1 0.1672 0.1672 0.5000 x8  4 Ag 2.83-2.88, 2 Ga 2.85, 6 Zn 2.87-2.88

---

# Zn2Ga2Ag

A relaxed Zn2Ga2Ag crystal (PBE, Alexandria via LeMat-Bulk).

Properties
offset from the most stable computed form	0.00	eV/f.u.

a b c (Å): 6.9168 6.9168 3.7563
angles (deg): 90.00 90.00 90.00
Closest atoms and distances in Å follow each position.
Space group P4/mbm (No. 127)
Asymmetric unit:
Zn1 0.1335 0.3665 0.0000 x4  1 Zn 2.61, 2 Ag 2.70, 6 Ga 2.70-2.82
Ga1 0.1683 0.6683 0.5000 x4  6 Zn 2.70-2.82
Ag1 0.0000 0.0000 0.0000 x2  4 Zn 2.70